5
Lattice="5.1046 0.0000 0.0000 0.0000 5.1046 0.0000 0.0000 0.0000 4.5199" Properties=species:S:1:pos:R:3 comment="PBE Ta2NiHgSb, optimized geometry" energy_ha_per_atom=-0.197 raw_formation_energy_ev_per_atom=1.435 spacegroup="No. 123" pbc="T T T"
Ta 0.0000 2.5523 0.0000
Ta 2.5523 0.0000 0.0000
Ni 0.0000 0.0000 2.2600
Hg 2.5523 2.5523 2.2600
Sb 0.0000 0.0000 0.0000